[1]
GaBiSe2O meta-GGA SCAN PBEsol geometry; theoretical density = 4.43 Mg/m³; ΔE_f (raw) = 0.9321 eV/atom; DFT total energy = -136.654 eV per cell
1.0
-4.158 3.135 1.404
0.370 -1.783 5.076
3.695 4.339 1.255
Se Bi Ga O
2 1 1 1
Cartesian
0.185 -0.892 2.538
-2.079 1.567 0.702
0.000 0.000 0.000
1.848 2.170 0.628
-0.047 2.845 3.868

[2]
GaBi3Os meta-GGA SCAN PBEsol geometry; ΔE_f = 4.2 eV per formula unit; theoretical density = 9.98 Mg/m³; DFT total energy = -319.739 eV per cell
1.0
-0.366 -4.637 2.508
4.376 -1.669 -2.447
2.939 1.907 3.955
Ga Os Bi
1 1 3
Cartesian
3.474 -2.199 2.008
0.000 0.000 0.000
1.470 0.954 1.978
2.188 -0.834 -1.223
-0.183 -2.318 1.254

[3]
GaBiPOs2 meta-GGA SCAN PBEsol geometry; ΔE_f = 13.7 eV per formula unit; theoretical density = 9.16 Mg/m³; DFT total energy = -235.357 eV per cell
1.0
-4.224 1.404 2.179
-2.518 -3.214 -2.810
0.634 -3.597 3.546
P Bi Os Ga
1 1 2 1
Cartesian
-3.054 -2.703 1.458
0.000 0.000 0.000
-2.112 0.702 1.090
-1.259 -1.607 -1.405
0.317 -1.799 1.773

[4]
Ga2BiP meta-GGA SCAN PBEsol geometry; ΔE_f = -0.7 eV per formula unit; theoretical density = 6.28 Mg/m³; DFT total energy = -244.687 eV per cell
1.0
-1.836 -4.105 -3.802
4.737 0.989 -3.355
1.474 -2.474 6.520
Ga P Bi
4 2 2
Cartesian
0.629 -3.637 -2.768
1.702 -2.196 3.829
2.685 -3.852 0.582
3.734 -1.495 -2.920
0.544 -4.069 -0.431
1.451 -1.558 -3.579
3.831 -1.522 -0.207
0.000 0.000 0.000

[5]
GaBiPPt2 meta-GGA SCAN PBEsol geometry; ΔE_f = 6.2 eV per formula unit; theoretical density = 8.77 Mg/m³; DFT total energy = -239.505 eV per cell
1.0
5.062 0.000 0.000
0.000 5.062 0.000
0.000 0.000 5.174
Ga Pt Bi P
1 2 1 1
Cartesian
2.531 2.531 2.587
0.000 2.531 0.000
2.531 0.000 0.000
0.000 0.000 0.000
0.000 0.000 2.587

[6]
GaBiPS2 meta-GGA SCAN PBEsol geometry; theoretical density = 4.35 Mg/m³; ΔE_f (raw) = 0.7600 eV/atom; DFT total energy = -120.781 eV per cell; distance to the lowest polymorph of the same formula = 0.414 eV per atom
1.0
5.226 0.000 0.000
0.000 5.226 0.000
0.000 0.000 5.226
Ga P Bi S
1 1 1 2
Cartesian
2.613 2.613 2.613
0.000 0.000 2.613
0.000 0.000 0.000
2.613 0.000 0.000
0.000 2.613 0.000

[7]
GaBiPS2 meta-GGA SCAN PBEsol geometry; theoretical density = 6.12 Mg/m³; ΔE_f (raw) = 0.3458 eV/atom; DFT total energy = -122.852 eV per cell; distance to the lowest polymorph of the same formula = 0.000 eV per atom
1.0
-1.028 -3.761 -2.594
3.293 -2.430 2.218
-3.127 -1.338 3.178
S Bi P Ga
2 1 1 1
Cartesian
-1.564 -0.669 1.589
1.647 -1.215 1.109
-0.431 -3.764 1.401
-0.514 -1.880 -1.297
0.000 0.000 0.000

[8]
GaBi2TeP meta-GGA SCAN PBEsol geometry; theoretical density = 6.15 Mg/m³; ΔE_f (raw) = 1.1608 eV/atom; DFT total energy = -215.351 eV per cell
1.0
5.294 0.000 0.000
0.000 5.743 0.000
0.000 0.000 5.743
Ga Bi Te P
1 2 1 1
Cartesian
2.647 0.000 0.000
0.000 2.871 0.000
0.000 0.000 2.871
0.000 0.000 0.000
2.647 2.871 2.871